Record 1
Computed, not measured: crystalline Tb12HoSc7 at its relaxed geometry at the PBE level of DFT.

abc: 9.049 9.049 9.049
angles: 108.28 108.28 108.28
Site moments in Bohr magnetons follow the coordinates.
Positions (direct):
Tb (0.799, 0.325, 0.621)  0.09
Tb (0.675, 0.379, 0.201)  0.09
Tb (0.407, 0.064, 0.297)  0.13
Tb (0.936, 0.703, 0.593)  0.13
Tb (0.379, 0.201, 0.675)  0.09
Tb (0.703, 0.593, 0.936)  0.13
Tb (0.297, 0.407, 0.064)  0.13
Tb (0.621, 0.799, 0.325)  0.09
Tb (0.064, 0.297, 0.407)  0.13
Tb (0.593, 0.936, 0.703)  0.13
Tb (0.325, 0.621, 0.799)  0.09
Tb (0.201, 0.675, 0.379)  0.09
Ho (0.000, 0.000, 0.000)  0.09
Sc (0.104, 0.685, 0.003)  0.20
Sc (0.315, 0.997, 0.896)  0.20
Sc (0.997, 0.896, 0.315)  0.20
Sc (0.500, 0.500, 0.500)  0.07
Sc (0.003, 0.104, 0.685)  0.20
Sc (0.685, 0.003, 0.104)  0.20
Sc (0.896, 0.315, 0.997)  0.20

Values from the calculation:
- E_form: 0.169 eV per atom
- Uncorrected energy: -101.09 eV/f.u.
- DOS at the Fermi energy: 39.8 states/eV/f.u.

Record 2
Computed, not measured: crystalline Pm5Hg2N at its relaxed geometry at the PBE level of DFT.

abc: 4.933 8.602 12.520
angles: 90.00 90.00 106.66
Positions (direct):
Pm (0.910, 0.819, 0.892)
Pm (0.910, 0.819, 0.608)
Pm (0.299, 0.597, 0.412)
Pm (0.299, 0.597, 0.088)
Pm (0.708, 0.417, 0.250)
Pm (0.292, 0.583, 0.750)
Pm (0.701, 0.403, 0.588)
Pm (0.701, 0.403, 0.912)
Pm (0.090, 0.181, 0.108)
Pm (0.090, 0.181, 0.392)
Hg (0.903, 0.806, 0.362)
Hg (0.903, 0.806, 0.138)
Hg (0.097, 0.194, 0.638)
Hg (0.097, 0.194, 0.862)
N (0.811, 0.623, 0.750)
N (0.189, 0.377, 0.250)

Values from the calculation:
- Uncorrected energy: -34.96 eV/f.u.
- DOS at the Fermi energy: 8.6 states/eV/f.u.
- Formation energy without anion corrections: -2.28 eV per formula unit

Record 3
Computed, not measured: crystalline Sr3SbSe at its relaxed geometry at the PBE level of DFT.

abc: 5.805 5.805 5.805
angles: 90.00 90.00 90.00
Positions (direct):
Sb (0.500, 0.500, 0.500)
Se (0.000, 0.000, 0.000)
Sr (0.000, 0.500, 0.000)
Sr (0.000, 0.000, 0.500)
Sr (0.500, 0.000, 0.000)

Values from the calculation:
- Uncorrected energy: -17.51 eV/f.u.
- DOS at the Fermi energy: 4.4 states/eV/f.u.
- Formation energy without anion corrections: -4.86 eV per formula unit
- Energy above the most stable polymorph in this dataset: 0.0 meV per atom